VASP calculation (PBE-GGA) on a relaxed Nd6Ge2N crystal.

Output
- energy above the most stable polymorph in this dataset (meV per atom) = 0
- formation energy (no corrections) (kJ/mol of atoms) = -67

abc: 6.4774 7.9905 11.3579
angles: 90.00 122.62 90.00
Space group P2_1/c (No. 14)
Symmetry-distinct sites (fractional):
Nd  0.1187  0.1598  0.4472 (multiplicity 4)
Nd  0.3072  0.7111  0.4447 (multiplicity 4)
Nd  0.3682  0.0342  0.2482 (multiplicity 4)
Ge  0.1920  0.1122  0.7571 (multiplicity 4)
N  0.5000  0.0000  0.5000 (multiplicity 2)

=====

VASP calculation (PBE-GGA) on a relaxed ZnTc2Mo crystal.

Output
- energy of formation (eV/atom) = 0.16

abc: 2.7806 2.7806 26.7837
angles: 90.00 90.00 120.00
Space group R3m (No. 160, hexagonal axes)
Symmetry-distinct sites (fractional):
Zn  0.0000  0.0000  0.0000 (multiplicity 3)
Tc  0.0000  0.0000  0.4170 (multiplicity 3)
Tc  0.0000  0.0000  0.5833 (multiplicity 3)
Mo  0.0000  0.0000  0.8339 (multiplicity 3)

=====

VASP calculation (PBE-GGA) on a relaxed SrFe2NiC crystal.

Output
- energy of formation (eV/atom) = 0.42

abc: 3.9707 3.9707 4.2259
angles: 90.00 90.00 90.00
Space group P4/mmm (No. 123)
Symmetry-distinct sites (fractional):
Sr  0.0000  0.0000  0.0000 (multiplicity 1)
Fe  0.0000  0.5000  0.5000 (multiplicity 2)
Ni  0.5000  0.5000  0.0000 (multiplicity 1)
C  0.5000  0.5000  0.5000 (multiplicity 1)